# 1
16
Lattice="6.5795 0.0000 0.0000 0.0000 6.5795 0.0000 0.0000 0.0000 8.5044" Properties=species:S:1:pos:R:3 comment="DyErCd14, optimized geometry, DFT GGA-PBE" magnetic_moment_mub_per_fu=0.00 dos_ef_per_ev_fu=5.4 formation_energy_mev_per_atom=-132 pbc="T T T"
Dy 0.0000 0.0000 0.0000
Er 3.2898 3.2898 0.0000
Cd 0.0000 0.0000 4.2522
Cd 0.0000 3.2898 0.0000
Cd 0.0000 3.2898 4.2522
Cd 1.6491 1.6491 2.1873
Cd 1.6491 1.6491 6.3171
Cd 1.6491 4.9304 2.1873
Cd 1.6491 4.9304 6.3171
Cd 3.2898 0.0000 0.0000
Cd 3.2898 0.0000 4.2522
Cd 3.2898 3.2898 4.2522
Cd 4.9304 1.6491 2.1873
Cd 4.9304 1.6491 6.3171
Cd 4.9304 4.9304 2.1873
Cd 4.9304 4.9304 6.3171

=====

# 2
14
Lattice="9.4970 0.0000 0.0000 -4.7485 8.2246 0.0000 0.0000 0.0000 5.6139" Properties=species:S:1:pos:R:3 comment="Tb3Y3Sc, optimized geometry, DFT GGA-PBE" magnetic_moment_mub_per_fu=0.00 relative_energy_mev_per_atom=0 dos_ef_per_ev_fu=15.2 formation_energy_mev_per_atom=22 pbc="T T T"
Tb -3.3574 6.6664 1.4035
Tb 0.6540 1.9838 1.4035
Tb 2.0450 0.4255 4.2104
Tb 2.7035 7.7991 1.4035
Tb 4.0945 6.2408 4.2104
Tb 8.1059 1.5583 4.2104
Y -2.0246 5.0977 4.2104
Y 1.3460 3.9224 4.2104
Y 4.0699 0.7955 1.4035
Y 0.6786 7.4291 4.2104
Y 3.4024 4.3022 1.4035
Y 6.7731 3.1269 1.4035
Sc 0.0000 5.4831 1.4035
Sc 4.7485 2.7415 4.2104

=====

# 3
18
Lattice="3.7401 2.1593 6.2519 -3.7401 2.1593 6.2519 0.0000 -4.3187 6.2519" Properties=species:S:1:pos:R:3 comment="Pr2Be3Cu12Au, optimized geometry, DFT GGA-PBE" magnetic_moment_mub_per_fu=0.00 dos_ef_per_ev_fu=8.6 formation_energy_mev_per_atom=312 pbc="T T T"
Pr 0.0000 0.0000 2.0006
Pr 0.0000 0.0000 16.7551
Be -1.8700 -1.0797 6.2519
Be -1.8700 1.0797 12.5038
Be 0.0000 2.1593 6.2519
Cu -2.0086 -1.1597 8.3864
Cu 0.0000 -1.9111 5.8118
Cu -1.6550 0.9555 5.8118
Cu 0.0000 -2.3194 10.3693
Cu -2.0086 1.1597 10.3693
Cu -1.6550 -0.9555 12.9439
Cu 1.6550 0.9555 5.8117
Cu 2.0086 -1.1597 8.3864
Cu 0.0000 2.3194 8.3864
Cu 1.6550 -0.9555 12.9439
Cu 0.0000 1.9111 12.9439
Cu 2.0086 1.1597 10.3693
Au 0.0000 0.0000 9.3778

=====

# 4
5
Lattice="5.8462 0.0000 0.0000 0.0000 5.8462 0.0000 0.0000 0.0000 5.8462" Properties=species:S:1:pos:R:3 comment="CsYAl3, optimized geometry, DFT GGA-PBE" magnetic_moment_mub_per_fu=2.26 relative_energy_mev_per_atom=0 dos_ef_per_ev_fu=6.7 formation_energy_mev_per_atom=696 pbc="T T T"
Cs 0.0000 0.0000 0.0000
Y 2.9231 2.9231 2.9231
Al 0.0000 2.9231 2.9231
Al 2.9231 0.0000 2.9231
Al 2.9231 2.9231 0.0000

=====

# 5
12
Lattice="5.9484 -4.1897 0.0000 5.9484 4.1897 0.0000 0.0000 0.0000 7.4795" Properties=species:S:1:pos:R:3 comment="Bi2Se3I, optimized geometry, DFT GGA-PBE" magnetic_moment_mub_per_fu=0.00 final_energy_ha_per_atom=-0.1251 dos_ef_per_ev_fu=2.8 pbc="T T T"
Bi 2.3773 0.0000 0.0000
Bi 2.3773 0.0000 3.7398
Bi 9.5195 0.0000 0.0000
Bi 9.5195 0.0000 3.7398
Se 5.9484 3.5032 5.6096
Se 3.8565 1.8639 1.8699
Se 8.0403 1.8639 1.8699
Se 3.8565 -1.8639 5.6096
Se 8.0403 -1.8639 5.6096
Se 5.9484 -3.5032 1.8699
I 5.9484 0.8378 5.6096
I 5.9484 -0.8378 1.8699

=====

# 6
28
Lattice="7.9494 0.0000 0.0000 0.0000 4.9079 0.0000 0.0000 0.0000 10.2045" Properties=species:S:1:pos:R:3 comment="ThNi5Pt, optimized geometry, DFT GGA-PBE" magnetic_moment_mub_per_fu=0.64 dos_ef_per_ev_fu=9.6 formation_energy_mev_per_atom=-404 pbc="T T T"
Th 1.9048 1.2270 0.6122
Th 2.0699 3.6809 5.7145
Th 5.8795 1.2270 4.4900
Th 6.0446 3.6809 9.5923
Ni 0.4421 3.6809 1.0857
Ni 0.5367 0.0101 3.2018
Ni 0.5367 2.4438 3.2018
Ni 0.7832 1.2270 5.3036
Ni 1.4670 1.2270 7.6466
Ni 2.5077 3.6809 2.5443
Ni 3.1915 3.6809 0.2014
Ni 3.4380 2.4641 8.3040
Ni 3.4380 4.8978 8.3040
Ni 3.5326 1.2270 6.1880
Ni 4.4168 3.6809 4.0165
Ni 4.5114 0.0101 1.9005
Ni 4.5114 2.4438 1.9005
Ni 4.7579 1.2270 10.0031
Ni 5.4417 1.2270 7.6601
Ni 6.4824 3.6809 2.5579
Ni 7.1662 3.6809 4.9009
Ni 7.4127 2.4641 7.0027
Ni 7.4127 4.8978 7.0027
Ni 7.5073 1.2270 9.1188
Pt 1.1115 3.6809 8.7649
Pt 2.8632 1.2270 3.6626
Pt 5.0862 3.6809 6.5418
Pt 6.8379 1.2270 1.4396

=====

# 7
13
Lattice="7.6487 0.0000 0.0000 0.0000 5.5111 0.0000 -3.8048 0.0000 10.5574" Properties=species:S:1:pos:R:3 comment="La2Tb8Er3, optimized geometry, DFT GGA-PBE" magnetic_moment_mub_per_fu=0.00 dos_ef_per_ev_fu=22.6 formation_energy_mev_per_atom=232 pbc="T T T"
La 0.0022 0.0000 5.0726
La 3.8417 0.0000 5.4847
Tb 0.0005 2.7555 2.6277
Tb -1.5973 0.0000 8.3625
Tb 0.0205 2.7555 7.2121
Tb 2.2072 0.0000 2.1966
Tb 1.6367 0.0000 8.3608
Tb 3.8233 2.7555 3.3452
Tb 5.4411 0.0000 2.1948
Tb 3.8433 2.7555 7.9297
Er 0.0000 0.0000 0.0000
Er -1.6041 2.7555 10.5565
Er 5.4479 2.7555 0.0008

=====

# 8
4
Lattice="3.4157 0.0000 0.0000 0.0000 3.6920 0.0000 0.0000 0.0000 6.1635" Properties=species:S:1:pos:R:3 comment="SrCoSi2, optimized geometry, DFT GGA-PBE" magnetic_moment_mub_per_fu=0.00 final_energy_ha_per_atom=-0.1856 dos_ef_per_ev_fu=2.8 pbc="T T T"
Sr 0.0000 0.0000 0.0000
Co 0.0000 1.8460 3.3207
Si 1.7079 0.0000 3.3496
Si 1.7079 1.8460 1.8065

=====

# 9
4
Lattice="0.0000 3.3789 3.3789 3.3789 0.0000 3.3789 3.3789 3.3789 0.0000" Properties=species:S:1:pos:R:3 comment="Al2TeP, optimized geometry, DFT GGA-PBE" magnetic_moment_mub_per_fu=0.00 relative_energy_mev_per_atom=554 dos_ef_per_ev_fu=2.5 pbc="T T T"
Al 1.6895 1.6895 1.6895
Al 5.0684 5.0684 5.0684
Te 0.0000 0.0000 0.0000
P 3.3789 3.3789 3.3789

=====

# 10
24
Lattice="-5.8770 5.8770 3.7939 5.8770 -5.8770 3.7939 5.8770 5.8770 -3.7939" Properties=species:S:1:pos:R:3 comment="LaCd9Pd2, optimized geometry, DFT GGA-PBE" magnetic_moment_mub_per_fu=0.00 dos_ef_per_ev_fu=7.0 formation_energy_mev_per_atom=-285 pbc="T T T"
La 5.8770 2.9385 0.9485
La 0.0000 2.9385 2.8455
Cd 5.8770 -2.9385 2.8455
Cd 4.4567 -0.5890 1.3679
Cd 7.2972 -0.5890 1.3679
Cd 2.3495 1.5182 0.5291
Cd 9.4044 1.5182 0.5291
Cd 4.4567 5.2880 -1.3679
Cd 1.4203 -0.5890 2.4261
Cd 2.3495 4.3587 0.5291
Cd 3.5274 -1.5182 4.3231
Cd 2.3495 7.3952 -0.5291
Cd 3.5274 1.5182 3.2648
Cd 4.4567 6.4659 1.3679
Cd 1.4203 0.5890 5.1618
Cd -3.5274 4.3587 3.2648
Cd 3.5274 4.3587 3.2648
Cd -1.4203 6.4659 2.4261
Cd 1.4203 6.4659 2.4261
Cd 0.0000 8.8154 0.9485
Pd 0.0000 0.0000 0.0000
Pd 2.9385 2.9385 -1.8970
Pd 2.9385 -2.9385 1.8970
Pd 0.0000 5.8770 0.0000

=====

# 11
4
Lattice="3.3784 0.0000 0.0000 0.0000 4.1914 0.0000 -1.0311 0.0000 7.8020" Properties=species:S:1:pos:R:3 comment="KAlHg2, optimized geometry, DFT GGA-PBE" magnetic_moment_mub_per_fu=0.00 relative_energy_mev_per_atom=40 dos_ef_per_ev_fu=1.5 formation_energy_mev_per_atom=-18 pbc="T T T"
K 0.0000 0.0000 0.0000
Al -0.5156 0.0000 3.9010
Hg 0.6769 2.0957 5.4582
Hg 1.6704 2.0957 2.3439

=====

# 12
4
Lattice="1.4804 0.8547 6.6184 -1.4804 0.8547 6.6184 0.0000 -1.7094 6.6184" Properties=species:S:1:pos:R:3 comment="Ti2HPd, optimized geometry, DFT GGA-PBE" magnetic_moment_mub_per_fu=0.00 final_energy_ha_per_atom=-0.2365 dos_ef_per_ev_fu=4.7 pbc="T T T"
Ti 0.0000 0.0000 0.0000
Ti 0.0000 0.0000 4.2751
H 0.0000 0.0000 12.0348
Pd 0.0000 0.0000 15.3463

=====

# 13
5
Lattice="4.4976 0.0000 0.0000 0.0000 4.4976 0.0000 0.0000 0.0000 5.1000" Properties=species:S:1:pos:R:3 comment="LaFeCuIr2, optimized geometry, DFT GGA-PBE" magnetic_moment_mub_per_fu=0.00 dos_ef_per_ev_fu=4.4 formation_energy_mev_per_atom=730 pbc="T T T"
La 0.0000 0.0000 0.0000
Fe 0.0000 0.0000 2.5500
Cu 2.2488 2.2488 0.0000
Ir 0.0000 2.2488 2.5500
Ir 2.2488 0.0000 2.5500

=====

# 14
4
Lattice="-1.5776 2.2817 4.6986 1.5776 -2.2817 4.6986 1.5776 2.2817 -4.6986" Properties=species:S:1:pos:R:3 comment="ZnCd2Ni, optimized geometry, DFT GGA-PBE" magnetic_moment_mub_per_fu=0.00 dos_ef_per_ev_fu=1.8 formation_energy_mev_per_atom=18 pbc="T T T"
Zn 0.0000 0.0000 0.0000
Cd 1.5776 0.0000 2.6178
Cd 0.0000 0.0000 5.2855
Ni 0.0000 2.2817 2.8225

=====

# 15
5
Lattice="3.6048 0.0000 0.0000 0.0000 3.6048 0.0000 0.0000 0.0000 3.9508" Properties=species:S:1:pos:R:3 comment="ZnCu2NiH, optimized geometry, DFT GGA-PBE" magnetic_moment_mub_per_fu=0.00 relative_energy_mev_per_atom=143 dos_ef_per_ev_fu=1.6 pbc="T T T"
Zn 0.0000 0.0000 0.0000
Cu 0.0000 1.8024 1.9754
Cu 1.8024 0.0000 1.9754
Ni 1.8024 1.8024 0.0000
H 0.0000 0.0000 1.9754

=====

# 16
4
Lattice="1.3135 0.7583 8.5969 -1.3135 0.7583 8.5969 0.0000 -1.5166 8.5969" Properties=species:S:1:pos:R:3 comment="Cu3Tc, optimized geometry, DFT GGA-PBE" magnetic_moment_mub_per_fu=0.00 dos_ef_per_ev_fu=3.2 formation_energy_mev_per_atom=159 pbc="T T T"
Cu 0.0000 0.0000 0.0000
Cu 0.0000 0.0000 6.5238
Cu 0.0000 0.0000 19.2670
Tc 0.0000 0.0000 12.8954

=====

# 17
4
Lattice="4.7156 0.0000 0.0000 0.0000 4.7156 0.0000 0.0000 0.0000 4.3340" Properties=species:S:1:pos:R:3 comment="ZrUSn2, optimized geometry, DFT GGA-PBE" magnetic_moment_mub_per_fu=2.63 relative_energy_mev_per_atom=0 dos_ef_per_ev_fu=8.1 formation_energy_mev_per_atom=-108 pbc="T T T"
Zr 0.0000 0.0000 0.0000
U 2.3578 2.3578 0.0000
Sn 0.0000 2.3578 2.1670
Sn 2.3578 0.0000 2.1670

=====

# 18
12
Lattice="3.4258 -5.9265 0.0000 3.4258 5.9265 0.0000 -2.2758 0.0000 7.1976" Properties=species:S:1:pos:R:3 comment="Ce6CS2Br3, optimized geometry, DFT GGA-PBE" magnetic_moment_mub_per_fu=5.30 final_energy_ha_per_atom=-0.2270 dos_ef_per_ev_fu=31.2 pbc="T T T"
Ce 1.0612 1.8365 1.4465
Ce -0.1555 0.0000 5.7198
Ce 1.0612 -1.8365 1.4465
Ce 3.5147 1.8365 5.7511
Ce 4.7314 0.0000 1.4779
Ce 3.5147 -1.8365 5.7511
C 0.0000 0.0000 0.0000
S 3.4258 1.9642 0.0000
S 3.4258 -1.9642 0.0000
Br 2.2880 3.8642 3.5988
Br 2.2880 0.0000 3.5988
Br 2.2880 -3.8642 3.5988

=====

# 19
20
Lattice="-4.8192 6.2127 2.7599 4.8192 -6.2127 2.7599 4.8192 6.2127 -2.7599" Properties=species:S:1:pos:R:3 comment="Tb2Ga5Co3, optimized geometry, DFT GGA-PBE" magnetic_moment_mub_per_fu=0.00 dos_ef_per_ev_fu=6.8 formation_energy_mev_per_atom=-505 pbc="T T T"
Tb 2.1526 1.7908 0.0000
Tb 2.1526 -1.7908 2.7599
Tb 2.6666 8.0035 0.0000
Tb 2.6666 4.4219 2.7599
Ga 4.8192 -2.5353 1.3800
Ga 6.5496 1.0407 0.0000
Ga 0.0000 0.0000 1.3800
Ga 1.7305 5.1719 0.0000
Ga 4.8192 2.5353 1.3800
Ga 0.0000 3.6774 1.3800
Ga 3.0887 1.0407 2.7599
Ga 0.0000 0.0000 4.1399
Ga -1.7305 5.1719 2.7599
Ga 0.0000 8.7480 1.3800
Co 3.9961 -4.3546 2.7599
Co 4.8192 0.0000 1.3800
Co 3.9961 4.3546 0.0000
Co 0.8231 1.8581 2.7599
Co 0.0000 6.2127 1.3800
Co 0.8231 10.5673 0.0000

=====

# 20
4
Lattice="2.4041 1.3880 6.5473 -2.4041 1.3880 6.5473 0.0000 -2.7760 6.5473" Properties=species:S:1:pos:R:3 comment="CsHg2Pt, optimized geometry, DFT GGA-PBE" magnetic_moment_mub_per_fu=0.00 relative_energy_mev_per_atom=0 dos_ef_per_ev_fu=2.2 formation_energy_mev_per_atom=-159 pbc="T T T"
Cs 0.0000 0.0000 0.0000
Hg 0.0000 0.0000 3.9254
Hg 0.0000 0.0000 15.7166
Pt 0.0000 0.0000 9.8210